This record from the Alexandria database describes crystalline Na2RhWO6 at its relaxed geometry. The functional is PBE with a Hubbard U.

Properties
Energy (eV per atom): -6.213

```
Na2RhWO6
1.0
-2.550 0.249 -2.979
-4.061 -1.782 3.327
-1.140 5.238 1.414
Na Rh W O
2 1 1 6
Direct
0.144 0.500 0.000
0.144 0.000 0.500
0.645 0.000 0.000
0.645 0.500 0.500
0.645 0.256 0.256
0.645 0.256 0.744
0.145 0.500 0.500
0.145 0.000 0.000
0.645 0.744 0.744
0.645 0.744 0.256
```